Material: Tb2Mg3
Method: DFT, PBE-GGA
State: relaxed

Summary:
SG = No. 166
energy of formation = 0.04 eV/atom
energy above the lowest structure with this stoichiometry = 106 meV per atom

a = 13.969 Å, b = 13.969 Å, c = 13.969 Å
α = 13.88°, β = 13.88°, γ = 13.88°
Sites, in units of the cell vectors:
Tb  0.201  0.201  0.201
Tb  0.799  0.799  0.799
Mg  0.000  0.000  0.000
Mg  0.396  0.396  0.396
Mg  0.604  0.604  0.604